# MoSeIO2, relaxed, DFT GGA+U
data_MoSeIO2
_cell_length_a 4.021
_cell_length_b 4.021
_cell_length_c 6.950
_cell_angle_alpha 90.00
_cell_angle_beta 90.00
_cell_angle_gamma 90.00
_space_group_name_H-M_alt 'P 4/m m m'
_space_group_IT_number 123
_space_group_name_Hall '-P 4 2'
loop_
_atom_site_label
_atom_site_fract_x
_atom_site_fract_y
_atom_site_fract_z
Mo1 0.000 0.000 0.000
Se1 0.500 0.500 0.500
I1 0.500 0.500 0.000
O1 0.000 0.500 0.500
# * DOS(E_F): 0.435 states/eV/atom
# * total magnetic moment: 4.54 μB per formula unit
# * theoretical density: 4.93 g/cm³
# * volume: 112.4 Å³/f.u.
# * distance to the lowest polymorph of the same formula: 922.4 meV per atom